# Ba2ScW3O12 PBE+U relaxed
data_Ba2ScW3O12
_cell_length_a 7.5116
_cell_length_b 7.5116
_cell_length_c 18.1060
_cell_angle_alpha 90.00
_cell_angle_beta 90.00
_cell_angle_gamma 120.00
_space_group_name_H-M_alt 'R -3 m'
_space_group_IT_number 166
_space_group_name_Hall '-R 3 2"'
loop_
_atom_site_label
_atom_site_type_symbol
_atom_site_fract_x
_atom_site_fract_y
_atom_site_fract_z
_atom_site_occupancy
Ba1 Ba 0.0000 0.0000 0.1761 1
Sc1 Sc 0.0000 0.0000 0.5000 1
W1 W 0.0000 0.5000 0.0000 1
O1 O 0.0600 0.5300 0.1037 1
O2 O 0.0891 0.5446 0.3543 1
# crystal system = trigonal
# D(E_F) = 9.2 states/eV per cell
# calculated total energy = -405.306 eV for the cell shown
# V = 16.38 A^3/atom